# 1
The following is a PBE calculation of a relaxed NaSbIO6 crystal, from Alexandria via LeMat-Bulk.

Unit cell a=5.3935 b=5.3935 c=10.5781 alpha=90.00 beta=90.00 gamma=120.00
Last column: nearest neighbours and their distance in Å.
Positions (direct):
Na 0.0000 0.0000 0.0000  6 O 2.54
Na 0.0000 0.0000 0.5000  6 O 2.54
Sb 0.3333 0.6667 0.2500  6 O 2.03
Sb 0.6667 0.3333 0.7500  6 O 2.03
I 0.3333 0.6667 0.7500  6 O 2.03
I 0.6667 0.3333 0.2500  6 O 2.03
O 0.9997 0.3777 0.1441  1 I 2.03, 1 Sb 2.03
O 0.0003 0.3780 0.6441  1 I 2.03, 1 Sb 2.03
O 0.9997 0.6220 0.3559  1 I 2.03, 1 Sb 2.03
O 0.0003 0.6223 0.8559  1 I 2.03, 1 Sb 2.03
O 0.3780 0.0003 0.1441  1 I 2.03, 1 Sb 2.03
O 0.3777 0.9997 0.6441  1 I 2.03, 1 Sb 2.03
O 0.3780 0.3777 0.3559  1 I 2.03, 1 Sb 2.03
O 0.3777 0.3780 0.8559  1 I 2.03, 1 Sb 2.03
O 0.6223 0.0003 0.3559  1 I 2.03, 1 Sb 2.03
O 0.6220 0.9997 0.8559  1 I 2.03, 1 Sb 2.03
O 0.6223 0.6220 0.1441  1 I 2.03, 1 Sb 2.03
O 0.6220 0.6223 0.6441  1 I 2.03, 1 Sb 2.03

* calculated total energy: -90.13 eV per cell
* DOS(E_F): 0.397 states/eV per atom
* mass density: 4.6 Mg/m³

# 2
The following is a PBE calculation of a relaxed Tb16Dy7Ho6 crystal, from Alexandria via LeMat-Bulk.

Unit cell a=11.0778 b=11.0778 c=11.0778 alpha=60.00 beta=60.00 gamma=60.00
Last column: nearest neighbours and their distance in Å.
Positions (direct):
Tb 0.0465 0.6512 0.6512  3 Dy 3.23, 3 Ho 3.55, 3 Tb 3.58
Tb 0.1235 0.1235 0.1235  4 Dy 3.35-3.41, 3 Tb 3.58, 3 Ho 3.62
Tb 0.1235 0.1235 0.6294  4 Dy 3.35-3.41, 3 Tb 3.58, 3 Ho 3.62
Tb 0.1235 0.6294 0.1235  4 Dy 3.35-3.41, 3 Tb 3.58, 3 Ho 3.62
Tb 0.3488 0.3488 0.3488  3 Dy 3.23, 3 Ho 3.55, 3 Tb 3.58
Tb 0.3488 0.3488 0.9535  3 Dy 3.23, 3 Ho 3.55, 3 Tb 3.58
Tb 0.3488 0.9535 0.3488  3 Dy 3.23, 3 Ho 3.55, 3 Tb 3.58
Tb 0.3706 0.8765 0.8765  4 Dy 3.35-3.41, 3 Tb 3.58, 3 Ho 3.62
Tb 0.6294 0.1235 0.1235  4 Dy 3.35-3.41, 3 Tb 3.58, 3 Ho 3.62
Tb 0.6512 0.0465 0.6512  3 Dy 3.23, 3 Ho 3.55, 3 Tb 3.58
Tb 0.6512 0.6512 0.0465  3 Dy 3.23, 3 Ho 3.55, 3 Tb 3.58
Tb 0.6512 0.6512 0.6512  3 Dy 3.23, 3 Ho 3.55, 3 Tb 3.58
Tb 0.8765 0.3706 0.8765  4 Dy 3.35-3.41, 3 Tb 3.58, 3 Ho 3.62
Tb 0.8765 0.8765 0.3706  4 Dy 3.35-3.41, 3 Tb 3.58, 3 Ho 3.62
Tb 0.8765 0.8765 0.8765  4 Dy 3.35-3.41, 3 Tb 3.58, 3 Ho 3.62
Tb 0.9535 0.3488 0.3488  3 Dy 3.23, 3 Ho 3.55, 3 Tb 3.58
Dy 0.0000 0.0000 0.0000  8 Tb 3.35
Dy 0.0000 0.0000 0.5000  8 Tb 3.23-3.41
Dy 0.0000 0.5000 0.0000  8 Tb 3.23-3.41
Dy 0.0000 0.5000 0.5000  8 Tb 3.23-3.41
Dy 0.5000 0.0000 0.0000  8 Tb 3.23-3.41
Dy 0.5000 0.0000 0.5000  8 Tb 3.23-3.41
Dy 0.5000 0.5000 0.0000  8 Tb 3.23-3.41
Ho 0.2744 0.2744 0.7256  8 Tb 3.55-3.62, 4 Dy 3.94
Ho 0.2744 0.7256 0.2744  8 Tb 3.55-3.62, 4 Dy 3.94
Ho 0.2744 0.7256 0.7256  8 Tb 3.55-3.62, 4 Dy 3.94
Ho 0.7256 0.2744 0.2744  8 Tb 3.55-3.62, 4 Dy 3.94
Ho 0.7256 0.2744 0.7256  8 Tb 3.55-3.62, 4 Dy 3.94
Ho 0.7256 0.7256 0.2744  8 Tb 3.55-3.62, 4 Dy 3.94

* energy relative to the elements: 0.239 eV per atom
* calculated total energy: -126.84 eV per cell
* DOS(E_F): 1.741 states/eV per atom
* mass density: 8.1 Mg/m³

# 3
The following is a PBE calculation of a relaxed YMg3Bi crystal, from Alexandria via LeMat-Bulk.

Unit cell a=5.4911 b=5.4911 c=5.4911 alpha=90.00 beta=90.00 gamma=90.00
Last column: nearest neighbours and their distance in Å.
Positions (direct):
Y 0.0000 0.0000 0.0000  12 Mg 3.88
Mg 0.0000 0.5000 0.5000  2 Bi 2.75
Mg 0.5000 0.0000 0.5000  2 Bi 2.75
Mg 0.5000 0.5000 0.0000  2 Bi 2.75
Bi 0.5000 0.5000 0.5000  6 Mg 2.75

* energy relative to the elements: 0.434 eV per atom
* calculated total energy: -12.96 eV per cell
* DOS(E_F): 0.721 states/eV per atom
* mass density: 3.7 Mg/m³

# 4
The following is a PBE calculation of a relaxed Nd3AlS6 crystal, from Alexandria via LeMat-Bulk.

Unit cell a=8.7968 b=8.7968 c=6.6368 alpha=90.00 beta=90.00 gamma=102.29
Last column: nearest neighbours and their distance in Å.
Positions (direct):
Nd 0.1014 0.8986 0.5000  7 S 2.83-3.13
Nd 0.2146 0.4164 0.4171  7 S 2.77-3.07
Nd 0.4164 0.2146 0.9171  7 S 2.77-3.07
Nd 0.5836 0.7854 0.4171  7 S 2.77-3.07
Nd 0.7854 0.5836 0.9171  7 S 2.77-3.07
Nd 0.8986 0.1014 0.0000  7 S 2.83-3.13
Al 0.3020 0.6980 0.8750  4 S 2.27-2.30
Al 0.6980 0.3020 0.3750  4 S 2.27-2.30
S 0.0761 0.6013 0.7115  1 Al 2.27
S 0.1367 0.1865 0.7081  4 Nd 2.77-2.84
S 0.1865 0.1367 0.2081  4 Nd 2.77-2.84
S 0.2835 0.7165 0.2144  1 Al 2.27
S 0.3987 0.9239 0.7115  1 Al 2.27
S 0.4573 0.5427 0.7424  1 Al 2.30
S 0.5427 0.4573 0.2424  1 Al 2.30
S 0.6013 0.0761 0.2115  1 Al 2.27
S 0.7165 0.2835 0.7144  1 Al 2.27
S 0.8135 0.8633 0.7081  4 Nd 2.77-2.84
S 0.8633 0.8135 0.2081  4 Nd 2.77-2.84
S 0.9239 0.3987 0.2115  1 Al 2.27

* calculated total energy: -122.40 eV per cell
* DOS(E_F): 0.000 states/eV per atom
* mass density: 4.3 Mg/m³